No. 1
Pm6Pr2Nd5: optimized geometry, PBE-GGA.

a = 11.971 Å, b = 20.964 Å, c = 3.676 Å
α = 90.00°, β = 90.00°, γ = 90.00°
Fractional coordinates of all 26 atoms:
Pm 0.061 0.076 0.000
Pm 0.076 0.365 0.000
Pm 0.181 0.630 0.500
Pm 0.319 0.130 0.500
Pm 0.424 0.865 0.000
Pm 0.439 0.576 0.000
Pm 0.561 0.424 0.000
Pm 0.576 0.135 0.000
Pm 0.681 0.870 0.500
Pm 0.819 0.370 0.500
Pm 0.924 0.635 0.000
Pm 0.939 0.924 0.000
Pr 0.174 0.783 0.000
Pr 0.326 0.283 0.000
Pr 0.674 0.717 0.000
Pr 0.826 0.217 0.000
Nd 0.000 0.500 0.500
Nd 0.084 0.221 0.500
Nd 0.200 0.945 0.500
Nd 0.300 0.445 0.500
Nd 0.416 0.721 0.500
Nd 0.500 0.000 0.500
Nd 0.584 0.279 0.500
Nd 0.700 0.555 0.500
Nd 0.800 0.055 0.500
Nd 0.916 0.779 0.500

For the density, the calculation gives 6.7 g/cm3. As for the formation energy from the elements: 111 kJ/mol of formula units. The value obtained for the electronic total energy is -4.6733 eV/atom. As for the spin magnetization: 0.0 μB/f.u. Its space group is Pbam.

No. 2
Pm3Pr3Nd8: optimized geometry, PBE-GGA.

a = 9.972 Å, b = 9.972 Å, c = 9.972 Å
α = 146.05°, β = 112.85°, γ = 77.42°
Fractional coordinates of all 14 atoms:
Pm 0.000 0.000 0.000
Pm 0.301 0.000 0.301
Pm 0.699 0.000 0.699
Pr 0.318 0.818 0.500
Pr 0.500 0.500 0.000
Pr 0.682 0.182 0.500
Nd 0.059 0.397 0.662
Nd 0.061 0.221 0.840
Nd 0.265 0.603 0.662
Nd 0.381 0.221 0.160
Nd 0.619 0.779 0.840
Nd 0.735 0.397 0.338
Nd 0.939 0.779 0.160
Nd 0.941 0.603 0.338

For the density, the calculation gives 6.7 g/cm3. As for the formation energy from the elements: 129 kJ/mol of formula units. As for the energy relative to the lowest polymorph listed for this composition: 0 meV per atom. The value obtained for the electronic total energy is -4.6713 eV/atom. As for the spin magnetization: 0.0 μB/f.u. Its space group is Immm.

No. 3
PmPr7Nd2: optimized geometry, PBE-GGA.

a = 9.496 Å, b = 9.496 Å, c = 5.648 Å
α = 90.00°, β = 90.00°, γ = 123.76°
Fractional coordinates of all 10 atoms:
Pm 0.000 0.000 0.000
Pr 0.068 0.294 0.500
Pr 0.225 0.775 0.000
Pr 0.294 0.068 0.500
Pr 0.500 0.500 0.500
Pr 0.706 0.932 0.500
Pr 0.775 0.225 0.000
Pr 0.932 0.706 0.500
Nd 0.296 0.704 0.500
Nd 0.704 0.296 0.500

For the density, the calculation gives 5.6 g/cm3. As for the formation energy from the elements: 582 kJ/mol of formula units. As for the energy relative to the lowest polymorph listed for this composition: 443 meV per atom. The value obtained for the electronic total energy is -4.1707 eV/atom. As for the spin magnetization: 0.0 μB/f.u. Its space group is Cmmm.

No. 4
Pm4Pr3Nd3: optimized geometry, PBE-GGA.

a = 3.803 Å, b = 9.720 Å, c = 9.720 Å
α = 89.96°, β = 90.00°, γ = 90.00°
Fractional coordinates of all 10 atoms:
Pm 0.000 0.000 0.000
Pm 0.000 0.254 0.254
Pm 0.000 0.502 0.754
Pm 0.000 0.754 0.502
Pr 0.500 0.300 0.954
Pr 0.500 0.455 0.455
Pr 0.500 0.954 0.300
Nd 0.000 0.127 0.628
Nd 0.000 0.628 0.127
Nd 0.500 0.800 0.800

For the density, the calculation gives 6.6 g/cm3. As for the formation energy from the elements: 98 kJ/mol of formula units. The value obtained for the electronic total energy is -4.6633 eV/atom. As for the spin magnetization: 0.0 μB/f.u. Its space group is Amm2.

No. 5
PmPr3Nd6: optimized geometry, PBE-GGA.

a = 7.107 Å, b = 7.107 Å, c = 7.107 Å
α = 91.16°, β = 91.16°, γ = 91.16°
Fractional coordinates of all 10 atoms:
Pm 0.000 0.000 0.000
Pr 0.249 0.249 0.249
Pr 0.500 0.500 0.500
Pr 0.751 0.751 0.751
Nd 0.076 0.751 0.425
Nd 0.250 0.576 0.926
Nd 0.425 0.076 0.751
Nd 0.576 0.926 0.250
Nd 0.751 0.425 0.076
Nd 0.926 0.250 0.576

For the density, the calculation gives 6.6 g/cm3. As for the formation energy from the elements: 222 kJ/mol of formula units. As for the energy relative to the lowest polymorph listed for this composition: 101 meV per atom. The value obtained for the electronic total energy is -4.5398 eV/atom. As for the spin magnetization: 0.0 μB/f.u. Its space group is R3.

No. 6
Pm3PrNd4: optimized geometry, PBE-GGA.

a = 11.920 Å, b = 7.409 Å, c = 6.407 Å
α = 90.00°, β = 90.00°, γ = 90.00°
Fractional coordinates of all 16 atoms:
Pm 0.000 0.124 0.000
Pm 0.250 0.125 0.668
Pm 0.250 0.875 0.168
Pm 0.500 0.876 0.500
Pm 0.750 0.125 0.668
Pm 0.750 0.875 0.168
Pr 0.000 0.875 0.500
Pr 0.500 0.125 0.000
Nd 0.000 0.374 0.500
Nd 0.000 0.625 0.000
Nd 0.249 0.375 0.167
Nd 0.251 0.625 0.667
Nd 0.500 0.375 0.500
Nd 0.500 0.626 0.000
Nd 0.749 0.625 0.667
Nd 0.751 0.375 0.167

For the density, the calculation gives 6.8 g/cm3. As for the formation energy from the elements: 26 kJ/mol of formula units. As for the energy relative to the lowest polymorph listed for this composition: 20 meV per atom. The value obtained for the electronic total energy is -4.7298 eV/atom. As for the spin magnetization: 0.0 μB/f.u. Its space group is Pmn2_1.